Record 1
Here is a relaxed structure of CsS3O6 from Alexandria via LeMat-Bulk. Energies are from PBE.

Cell: 7.982 7.982 7.982 Å, 116.09 116.09 116.09°
Element x y z (fractional)
Cs 0.000 0.000 0.000
S 0.127 0.591 0.591
S 0.591 0.127 0.591
S 0.591 0.591 0.127
O 0.288 0.870 0.870
O 0.318 0.597 0.597
O 0.597 0.318 0.597
O 0.597 0.597 0.318
O 0.870 0.288 0.870
O 0.870 0.870 0.288

Output
ΔE_f (raw), eV per atom: -1.224
Total magnetic moment, μB per cell: 1.03
Symmetry: No. 160
Crystal system: trigonal

Record 2
Here is a relaxed structure of CsS2O4 from Alexandria via LeMat-Bulk. Energies are from PBE.

Cell: 9.810 16.161 7.861 Å, 90.00 98.89 90.00°
Element x y z (fractional)
Cs 0.082 0.099 0.219
Cs 0.082 0.401 0.719
Cs 0.408 0.599 0.163
Cs 0.408 0.901 0.663
Cs 0.592 0.099 0.337
Cs 0.592 0.401 0.837
Cs 0.918 0.599 0.281
Cs 0.918 0.901 0.781
S 0.046 0.636 0.824
S 0.046 0.864 0.324
S 0.221 0.697 0.740
S 0.221 0.803 0.240
S 0.321 0.177 0.724
S 0.321 0.323 0.224
S 0.323 0.599 0.626
S 0.323 0.901 0.126
S 0.677 0.099 0.874
S 0.677 0.401 0.374
S 0.679 0.677 0.776
S 0.679 0.823 0.276
S 0.779 0.197 0.760
S 0.779 0.303 0.260
S 0.954 0.136 0.676
S 0.954 0.364 0.176
O 0.018 0.085 0.819
O 0.018 0.415 0.319
O 0.037 0.208 0.640
O 0.037 0.292 0.140
O 0.102 0.589 0.978
O 0.102 0.911 0.478
O 0.232 0.570 0.473
O 0.232 0.930 0.973
O 0.333 0.120 0.582
O 0.333 0.380 0.082
O 0.351 0.237 0.192
O 0.351 0.263 0.692
O 0.356 0.535 0.759
O 0.356 0.965 0.259
O 0.444 0.645 0.585
O 0.444 0.855 0.085
O 0.556 0.145 0.915
O 0.556 0.355 0.415
O 0.644 0.035 0.741
O 0.644 0.465 0.241
O 0.649 0.737 0.308
O 0.649 0.763 0.808
O 0.667 0.620 0.918
O 0.667 0.880 0.418
O 0.768 0.070 0.027
O 0.768 0.430 0.527
O 0.898 0.089 0.522
O 0.898 0.411 0.022
O 0.963 0.708 0.860
O 0.963 0.792 0.360
O 0.982 0.585 0.681
O 0.982 0.915 0.181

Output
ΔE_f (raw), eV per atom: -1.412
Total magnetic moment, μB per cell: 0.00
Symmetry: No. 14
Crystal system: monoclinic

Record 3
Here is a relaxed structure of CsSO3 from Alexandria via LeMat-Bulk. Energies are from PBE.

Cell: 6.269 6.269 6.876 Å, 90.00 90.00 120.00°
Element x y z (fractional)
Cs 0.333 0.667 0.000
Cs 0.667 0.333 0.500
S 0.000 0.000 0.275
S 0.000 0.000 0.775
O 0.132 0.264 0.336
O 0.132 0.868 0.336
O 0.264 0.132 0.836
O 0.736 0.868 0.336
O 0.868 0.132 0.836
O 0.868 0.736 0.836

Output
ΔE_f (raw), eV per atom: -1.499
Total magnetic moment, μB per cell: 0.00
Symmetry: No. 186
Crystal system: hexagonal

Record 4
Here is a relaxed structure of Cs3SO4 from Alexandria via LeMat-Bulk. Energies are from PBE.

Cell: 6.983 6.983 6.983 Å, 125.57 101.32 102.83°
Element x y z (fractional)
Cs 0.000 0.000 0.000
Cs 0.286 0.507 0.779
Cs 0.728 0.507 0.221
S 0.654 0.154 0.500
O 0.418 0.058 0.360
O 0.698 0.058 0.640
O 0.754 0.062 0.308
O 0.754 0.447 0.692

Output
ΔE_f (raw), eV per atom: -1.509
Total magnetic moment, μB per cell: 0.61
Symmetry: No. 44
Crystal system: orthorhombic